Here is crystalline Li3Ac2VO6 at its relaxed geometry from Alexandria via LeMat-Bulk. Energies are from PBE+U.

Calculated values
The symmetry is C2/m (12). The value obtained for the magnetization is 2.00 Bohr magnetons per cell. The calculation puts the total energy at -79.727 eV per formula unit. For the calculated density, the calculation gives 6.32 g/cm3.

Structure (POSCAR):
```
Li3Ac2VO6
1.0
6.326 -0.320 0.103
-3.438 5.319 0.103
-0.858 -1.485 4.961
Li Ac V O
3 2 1 6
direct
0.101 0.899 0.500
0.899 0.101 0.500
0.500 0.500 0.500
0.332 0.668 0.000
0.668 0.332 0.000
0.000 0.000 0.000
0.939 0.670 0.761
0.747 0.747 0.237
0.061 0.330 0.239
0.670 0.939 0.761
0.253 0.253 0.763
0.330 0.061 0.239
```